Material: CoHgAs
Method: DFT, GGA-PBEsol
State: relaxed

Structure (extended XYZ):
```
3
Lattice="3.0922 0.0000 0.0000 -1.5461 2.6779 0.0000 0.0000 0.0000 6.1458" Properties=species:S:1:pos:R:3 pbc="T T T"
Hg 1.5461 0.8926 2.2692
Co 0.0000 1.7853 4.3097
As 0.0000 0.0000 5.7128
```

Summary:
**Space group**: P3m1
**Theoretical density**: 10.91 g/cm³
**N(E_F)**: 0.5256 states/eV/atom
**Final energy**: -4.415 eV per atom
**Total moment**: 0.0 μB per formula unit
**Crystal system**: trigonal
**Energy of formation**: 55 meV/atom